! Sm2SnRu, optimized geometry, DFT PBE; values from VASP
! space group	P4/mmm (123)
! electronic total energy	-6.137	eV/atom
! ΔE_f	-458	meV/atom
! energy above the most stable polymorph in this dataset	0.000	eV per formula unit
&SYSTEM
  ibrav = 0, nat = 4, ntyp = 3
/
ATOMIC_SPECIES
Sm 150.36 Sm.upf
Sn 118.71 Sn.upf
Ru 101.07 Ru.upf
CELL_PARAMETERS angstrom
3.457 0.000 0.000
0.000 3.457 0.000
0.000 0.000 8.298
ATOMIC_POSITIONS crystal
Sm 0.000 0.000 0.208
Sm 0.000 0.000 0.792
Sn 0.500 0.500 0.500
Ru 0.500 0.500 0.000


! Tb4Co2Bi, optimized geometry, DFT PBE; values from VASP
! space group	C2/c (15)
! electronic total energy	-5.370	eV/atom
! ΔE_f	-140	meV/atom
&SYSTEM
  ibrav = 0, nat = 14, ntyp = 3
/
ATOMIC_SPECIES
Tb 158.93 Tb.upf
Co 58.93 Co.upf
Bi 208.98 Bi.upf
CELL_PARAMETERS angstrom
6.490 -4.576 0.000
6.490 4.576 0.000
-6.486 0.000 6.500
ATOMIC_POSITIONS crystal
Tb 0.223 0.777 0.570
Tb 0.223 0.777 0.930
Tb 0.293 0.347 0.070
Tb 0.347 0.293 0.570
Tb 0.653 0.707 0.430
Tb 0.707 0.653 0.930
Tb 0.777 0.223 0.070
Tb 0.777 0.223 0.430
Co 0.000 0.500 0.500
Co 0.500 0.000 0.000
Co 0.500 0.500 0.000
Co 0.500 0.500 0.500
Bi 0.125 0.875 0.250
Bi 0.875 0.125 0.750


! BaCdSn2Au, optimized geometry, DFT PBE; values from VASP
! space group	P4/mmm (123)
! electronic total energy	-2.865	eV/atom
! ΔE_f	-41	meV/atom
! energy above the most stable polymorph in this dataset	2.214	eV per formula unit
&SYSTEM
  ibrav = 0, nat = 5, ntyp = 4
/
ATOMIC_SPECIES
Ba 137.33 Ba.upf
Cd 112.41 Cd.upf
Sn 118.71 Sn.upf
Au 196.97 Au.upf
CELL_PARAMETERS angstrom
5.378 0.000 0.000
0.000 5.378 0.000
0.000 0.000 6.243
ATOMIC_POSITIONS crystal
Ba 0.000 0.000 0.000
Cd 0.500 0.500 0.000
Sn 0.000 0.500 0.500
Sn 0.500 0.000 0.500
Au 0.000 0.000 0.500


! Tb5Cd2Ir, optimized geometry, DFT PBE; values from VASP
! space group	Cmcm (63)
! electronic total energy	-4.405	eV/atom
! ΔE_f	-174	meV/atom
&SYSTEM
  ibrav = 0, nat = 16, ntyp = 3
/
ATOMIC_SPECIES
Tb 158.93 Tb.upf
Cd 112.41 Cd.upf
Ir 192.22 Ir.upf
CELL_PARAMETERS angstrom
2.810 -6.138 0.000
2.810 6.138 0.000
0.000 0.000 12.878
ATOMIC_POSITIONS crystal
Tb 0.079 0.921 0.603
Tb 0.079 0.921 0.897
Tb 0.372 0.628 0.564
Tb 0.372 0.628 0.936
Tb 0.405 0.595 0.250
Tb 0.595 0.405 0.750
Tb 0.628 0.372 0.064
Tb 0.628 0.372 0.436
Tb 0.921 0.079 0.103
Tb 0.921 0.079 0.397
Cd 0.183 0.817 0.138
Cd 0.183 0.817 0.362
Cd 0.817 0.183 0.638
Cd 0.817 0.183 0.862
Ir 0.238 0.762 0.750
Ir 0.762 0.238 0.250


! ZnCu2Se, optimized geometry, DFT PBE; values from VASP
! space group	R3m (160)
! electronic total energy	-3.056	eV/atom
! formation energy without anion corrections	0.18	eV per atom
! energy above the most stable polymorph in this dataset	0.647	eV per formula unit
&SYSTEM
  ibrav = 0, nat = 4, ntyp = 3
/
ATOMIC_SPECIES
Zn 65.41 Zn.upf
Cu 63.55 Cu.upf
Se 78.96 Se.upf
CELL_PARAMETERS angstrom
1.385 0.800 9.493
-1.385 0.800 9.493
0.000 -1.600 9.493
ATOMIC_POSITIONS crystal
Zn 0.000 0.000 0.000
Cu 0.260 0.260 0.260
Cu 0.524 0.524 0.524
Se 0.782 0.782 0.782


! Sc5Rh4, optimized geometry, DFT PBE; values from VASP
! space group	I4/mmm (139)
! electronic total energy	-7.328	eV/atom
! ΔE_f	-543	meV/atom
! energy above the most stable polymorph in this dataset	2.206	eV per formula unit
&SYSTEM
  ibrav = 0, nat = 9, ntyp = 2
/
ATOMIC_SPECIES
Sc 44.96 Sc.upf
Rh 102.91 Rh.upf
CELL_PARAMETERS angstrom
-4.129 4.129 2.367
4.129 -4.129 2.367
4.129 4.129 -2.367
ATOMIC_POSITIONS crystal
Sc 0.000 0.000 0.000
Sc 0.317 0.317 0.633
Sc 0.317 0.683 0.000
Sc 0.683 0.317 0.000
Sc 0.683 0.683 0.367
Rh 0.000 0.334 0.334
Rh 0.000 0.666 0.666
Rh 0.334 0.000 0.334
Rh 0.666 0.000 0.666


! Tl3Zn2, optimized geometry, DFT PBE; values from VASP
! space group	R-3m (166)
! electronic total energy	-1.785	eV/atom
! ΔE_f	145	meV/atom
! energy above the most stable polymorph in this dataset	0.139	eV per formula unit
&SYSTEM
  ibrav = 0, nat = 5, ntyp = 2
/
ATOMIC_SPECIES
Tl 204.38 Tl.upf
Zn 65.41 Zn.upf
CELL_PARAMETERS angstrom
1.763 1.018 11.845
-1.763 1.018 11.845
0.000 -2.035 11.845
ATOMIC_POSITIONS crystal
Tl 0.000 0.000 0.000
Tl 0.207 0.207 0.207
Tl 0.793 0.793 0.793
Zn 0.397 0.397 0.397
Zn 0.603 0.603 0.603


! PuSc2Os, optimized geometry, DFT PBE; values from VASP
! space group	P4/mmm (123)
! electronic total energy	-9.749	eV/atom
! ΔE_f	-192	meV/atom
&SYSTEM
  ibrav = 0, nat = 4, ntyp = 3
/
ATOMIC_SPECIES
Pu 244.00 Pu.upf
Sc 44.96 Sc.upf
Os 190.23 Os.upf
CELL_PARAMETERS angstrom
3.219 0.000 0.000
0.000 3.219 0.000
0.000 0.000 8.397
ATOMIC_POSITIONS crystal
Pu 0.000 0.000 0.000
Sc 0.500 0.500 0.315
Sc 0.500 0.500 0.685
Os 0.000 0.000 0.500


! AgSe3Br, optimized geometry, DFT PBE; values from VASP
! space group	Pm-3m (221)
! electronic total energy	-2.091	eV/atom
! formation energy without anion corrections	0.90	eV per atom
&SYSTEM
  ibrav = 0, nat = 5, ntyp = 3
/
ATOMIC_SPECIES
Ag 107.87 Ag.upf
Se 78.96 Se.upf
Br 79.90 Br.upf
CELL_PARAMETERS angstrom
5.205 0.000 0.000
0.000 5.205 0.000
0.000 0.000 5.205
ATOMIC_POSITIONS crystal
Ag 0.000 0.000 0.000
Se 0.000 0.500 0.500
Se 0.500 0.000 0.500
Se 0.500 0.500 0.000
Br 0.500 0.500 0.500


! NbFeS2N, optimized geometry, DFT PBE; values from VASP
! space group	P4/mmm (123)
! electronic total energy	-6.798	eV/atom
! formation energy without anion corrections	0.22	eV per atom
! energy above the most stable polymorph in this dataset	0.000	eV per formula unit
&SYSTEM
  ibrav = 0, nat = 5, ntyp = 4
/
ATOMIC_SPECIES
Nb 92.91 Nb.upf
Fe 55.84 Fe.upf
S 32.06 S.upf
N 14.01 N.upf
CELL_PARAMETERS angstrom
4.594 0.000 0.000
0.000 4.594 0.000
0.000 0.000 3.388
ATOMIC_POSITIONS crystal
Nb 0.000 0.000 0.000
Fe 0.500 0.500 0.500
S 0.000 0.500 0.500
S 0.500 0.000 0.500
N 0.500 0.500 0.000


! LaBeCo2, optimized geometry, DFT PBE; values from VASP
! space group	P2/m (10)
! electronic total energy	-5.506	eV/atom
! ΔE_f	210	meV/atom
&SYSTEM
  ibrav = 0, nat = 4, ntyp = 3
/
ATOMIC_SPECIES
La 138.91 La.upf
Be 9.01 Be.upf
Co 58.93 Co.upf
CELL_PARAMETERS angstrom
2.847 0.000 0.000
0.000 3.469 0.000
-0.504 0.000 5.935
ATOMIC_POSITIONS crystal
La 0.000 0.000 0.000
Be 0.500 0.000 0.500
Co 0.211 0.500 0.672
Co 0.789 0.500 0.328


! CeYEr2S6, optimized geometry, DFT PBE; values from VASP
! space group	R3 (146)
! electronic total energy	-6.653	eV/atom
! formation energy without anion corrections	-2.02	eV per atom
&SYSTEM
  ibrav = 0, nat = 10, ntyp = 4
/
ATOMIC_SPECIES
Ce 140.12 Ce.upf
Y 88.91 Y.upf
Er 167.26 Er.upf
S 32.06 S.upf
CELL_PARAMETERS angstrom
3.479 2.009 6.167
-3.479 2.009 6.167
0.000 -4.018 6.167
ATOMIC_POSITIONS crystal
Ce 0.000 0.000 0.000
Y 0.495 0.495 0.495
Er 0.293 0.293 0.293
Er 0.796 0.796 0.796
S 0.086 0.675 0.417
S 0.192 0.585 0.900
S 0.417 0.086 0.675
S 0.585 0.900 0.192
S 0.675 0.417 0.086
S 0.900 0.192 0.585


! CoRuRh6, optimized geometry, DFT PBE; values from VASP
! space group	P4/mmm (123)
! electronic total energy	-7.531	eV/atom
! ΔE_f	30	meV/atom
! energy above the most stable polymorph in this dataset	0.000	eV per formula unit
&SYSTEM
  ibrav = 0, nat = 8, ntyp = 3
/
ATOMIC_SPECIES
Co 58.93 Co.upf
Ru 101.07 Ru.upf
Rh 102.91 Rh.upf
CELL_PARAMETERS angstrom
5.383 0.000 0.000
0.000 5.383 0.000
0.000 0.000 3.814
ATOMIC_POSITIONS crystal
Co 0.000 0.000 0.000
Ru 0.500 0.500 0.000
Rh 0.000 0.500 0.000
Rh 0.249 0.249 0.500
Rh 0.249 0.751 0.500
Rh 0.500 0.000 0.000
Rh 0.751 0.249 0.500
Rh 0.751 0.751 0.500


! Te2Au2O7, optimized geometry, DFT PBE; values from VASP
! space group	C2/m (12)
! electronic total energy	-4.571	eV/atom
! formation energy without anion corrections	-0.25	eV per atom
&SYSTEM
  ibrav = 0, nat = 11, ntyp = 3
/
ATOMIC_SPECIES
Te 127.60 Te.upf
Au 196.97 Au.upf
O 16.00 O.upf
CELL_PARAMETERS angstrom
3.280 -4.254 0.000
3.280 4.254 0.000
-1.246 0.000 6.122
ATOMIC_POSITIONS crystal
Te 0.195 0.805 0.000
Te 0.805 0.195 0.000
Au 0.202 0.202 0.528
Au 0.798 0.798 0.472
O 0.055 0.413 0.818
O 0.127 0.127 0.178
O 0.413 0.055 0.818
O 0.500 0.500 0.500
O 0.587 0.945 0.182
O 0.873 0.873 0.822
O 0.945 0.587 0.182


! Li5RhO4, optimized geometry, DFT PBE; values from VASP
! space group	Immm (71)
! electronic total energy	-5.094	eV/atom
! formation energy without anion corrections	-1.42	eV per atom
&SYSTEM
  ibrav = 0, nat = 10, ntyp = 3
/
ATOMIC_SPECIES
Li 6.94 Li.upf
Rh 102.91 Rh.upf
O 16.00 O.upf
CELL_PARAMETERS angstrom
-1.417 3.334 4.974
1.417 -3.334 4.974
1.417 3.334 -4.974
ATOMIC_POSITIONS crystal
Li 0.000 0.000 0.000
Li 0.119 0.847 0.272
Li 0.425 0.153 0.272
Li 0.575 0.847 0.728
Li 0.881 0.153 0.728
Rh 0.500 0.500 0.000
O 0.204 0.500 0.704
O 0.295 0.295 0.000
O 0.705 0.705 0.000
O 0.796 0.500 0.296


! Cs3TlO2, optimized geometry, DFT PBE; values from VASP
! space group	P-1 (2)
! electronic total energy	-3.461	eV/atom
! formation energy without anion corrections	-0.99	eV per atom
! energy above the most stable polymorph in this dataset	0.000	eV per formula unit
&SYSTEM
  ibrav = 0, nat = 12, ntyp = 3
/
ATOMIC_SPECIES
Cs 132.91 Cs.upf
Tl 204.38 Tl.upf
O 16.00 O.upf
CELL_PARAMETERS angstrom
4.386 0.000 0.000
-0.623 7.278 0.000
-1.177 -2.182 13.217
ATOMIC_POSITIONS crystal
Cs 0.143 0.007 0.247
Cs 0.233 0.769 0.498
Cs 0.257 0.713 0.985
Cs 0.743 0.287 0.015
Cs 0.767 0.231 0.502
Cs 0.857 0.993 0.753
Tl 0.366 0.411 0.740
Tl 0.634 0.589 0.260
O 0.217 0.307 0.880
O 0.303 0.133 0.631
O 0.697 0.867 0.369
O 0.783 0.693 0.120


! Sc3RhCl, optimized geometry, DFT PBE; values from VASP
! space group	Pm-3m (221)
! electronic total energy	-5.944	eV/atom
! formation energy without anion corrections	-0.31	eV per atom
! energy above the most stable polymorph in this dataset	0.212	eV per formula unit
&SYSTEM
  ibrav = 0, nat = 5, ntyp = 3
/
ATOMIC_SPECIES
Sc 44.96 Sc.upf
Rh 102.91 Rh.upf
Cl 35.45 Cl.upf
CELL_PARAMETERS angstrom
4.675 0.000 0.000
0.000 4.675 0.000
0.000 0.000 4.675
ATOMIC_POSITIONS crystal
Sc 0.000 0.000 0.500
Sc 0.000 0.500 0.000
Sc 0.500 0.000 0.000
Rh 0.500 0.500 0.500
Cl 0.000 0.000 0.000


! TaRu, optimized geometry, DFT PBE; values from VASP
! space group	Cmme (67)
! electronic total energy	-10.490	eV/atom
! ΔE_f	75	meV/atom
&SYSTEM
  ibrav = 0, nat = 4, ntyp = 2
/
ATOMIC_SPECIES
Ta 180.95 Ta.upf
Ru 101.07 Ru.upf
CELL_PARAMETERS angstrom
1.590 -2.332 0.000
1.590 2.332 0.000
0.000 0.000 8.763
ATOMIC_POSITIONS crystal
Ta 0.250 0.750 0.865
Ta 0.750 0.250 0.135
Ru 0.250 0.750 0.374
Ru 0.750 0.250 0.626


! LuScTl2, optimized geometry, DFT PBE; values from VASP
! space group	P4/mmm (123)
! electronic total energy	-4.144	eV/atom
! ΔE_f	-248	meV/atom
&SYSTEM
  ibrav = 0, nat = 4, ntyp = 3
/
ATOMIC_SPECIES
Lu 174.97 Lu.upf
Sc 44.96 Sc.upf
Tl 204.38 Tl.upf
CELL_PARAMETERS angstrom
4.867 0.000 0.000
0.000 4.867 0.000
0.000 0.000 4.186
ATOMIC_POSITIONS crystal
Lu 0.000 0.000 0.000
Sc 0.500 0.500 0.000
Tl 0.000 0.500 0.500
Tl 0.500 0.000 0.500


! ScIr2Rh, optimized geometry, DFT PBE; values from VASP
! space group	Fm-3m (225)
! electronic total energy	-8.043	eV/atom
! ΔE_f	-191	meV/atom
&SYSTEM
  ibrav = 0, nat = 4, ntyp = 3
/
ATOMIC_SPECIES
Sc 44.96 Sc.upf
Ir 192.22 Ir.upf
Rh 102.91 Rh.upf
CELL_PARAMETERS angstrom
0.000 3.160 3.160
3.160 0.000 3.160
3.160 3.160 0.000
ATOMIC_POSITIONS crystal
Sc 0.000 0.000 0.000
Ir 0.250 0.250 0.250
Ir 0.750 0.750 0.750
Rh 0.500 0.500 0.500